# 1
A plane-wave DFT calculation with PBE was carried out for crystalline NiGePd at its relaxed geometry.

a = 6.5277 Å, b = 6.5277 Å, c = 3.3407 Å
α = 90.00°, β = 90.00°, γ = 120.00°
Space group P-62m (No. 189)
Asymmetric unit:
Ni (0.0000, 0.2645, 0.0000) [3 per cell]
Ge (0.0000, 0.0000, 0.5000) [1 per cell]
Ge (0.3333, 0.6667, 0.0000) [2 per cell]
Pd (0.0000, 0.6074, 0.5000) [3 per cell]

Summary:
Uncorrected energy in eV per atom: -5.549


# 2
A plane-wave DFT calculation with PBE was carried out for crystalline NiGePd at its relaxed geometry.

a = 5.689 Å, b = 5.689 Å, c = 5.689 Å
α = 90.00°, β = 90.00°, γ = 90.00°
Space group F-43m (No. 216)
Asymmetric unit:
Ni (0.000, 0.000, 0.000) [4 per cell]
Ge (0.250, 0.250, 0.250) [4 per cell]
Pd (0.000, 0.000, 0.500) [4 per cell]

Summary:
Uncorrected energy in eV per atom: -5.389